(1)
# Nb2GaPd2 (PBE-GGA, optimized geometry)
data_Nb2GaPd2
_cell_length_a 7.688
_cell_length_b 7.688
_cell_length_c 2.945
_cell_angle_alpha 90.00
_cell_angle_beta 90.00
_cell_angle_gamma 90.00
_space_group_name_H-M_alt 'P 4/m b m'
_space_group_IT_number 127
_space_group_name_Hall '-P 4 2ab'
loop_
_atom_site_label
_atom_site_fract_x
_atom_site_fract_y
_atom_site_fract_z
Nb1 0.173 0.327 0.000
Ga1 0.000 0.000 0.500
Pd1 0.124 0.624 0.500
# Total energy = -6.836 eV/atom
# ΔH_f (0 K) = -0.125 eV/atom

=====

(2)
# Nb3Ga4Pd (PBE-GGA, optimized geometry)
data_Nb3Ga4Pd
_cell_length_a 9.207
_cell_length_b 5.435
_cell_length_c 5.340
_cell_angle_alpha 90.00
_cell_angle_beta 90.00
_cell_angle_gamma 90.00
_space_group_name_H-M_alt 'P m n 21'
_space_group_IT_number 31
loop_
_space_group_symop_operation_xyz
'x,y,z'
'-x+1/2,-y,z+1/2'
'-x,y,z'
'x+1/2,-y,z+1/2'
loop_
_atom_site_label
_atom_site_fract_x
_atom_site_fract_y
_atom_site_fract_z
Nb1 0.000 0.119 0.000
Nb2 0.240 0.356 0.677
Ga1 0.000 0.106 0.489
Ga2 0.000 0.606 0.904
Ga3 0.219 0.852 0.690
Pd1 0.000 0.620 0.401
# Total energy = -6.194 eV/atom
# ΔH_f (0 K) = -0.255 eV/atom

=====

(3)
# Nb2GaPd7 (PBE-GGA, optimized geometry)
data_Nb2GaPd7
_cell_length_a 7.202
_cell_length_b 13.176
_cell_length_c 4.216
_cell_angle_alpha 90.00
_cell_angle_beta 90.00
_cell_angle_gamma 90.00
_space_group_name_H-M_alt 'C m m m'
_space_group_IT_number 65
_space_group_name_Hall '-C 2 2'
loop_
_atom_site_label
_atom_site_fract_x
_atom_site_fract_y
_atom_site_fract_z
Nb1 0.000 0.200 0.000
Ga1 0.000 0.500 0.500
Pd1 0.000 0.000 0.000
Pd2 0.000 0.304 0.500
Pd3 0.187 0.394 0.000
# Total energy = -5.746 eV/atom
# ΔH_f (0 K) = 0.205 eV/atom

=====

(4)
# Nb2GaPd9 (PBE-GGA, optimized geometry)
data_Nb2GaPd9
_cell_length_a 3.955
_cell_length_b 3.955
_cell_length_c 11.902
_cell_angle_alpha 90.00
_cell_angle_beta 90.00
_cell_angle_gamma 90.00
_space_group_name_H-M_alt 'P 4/m m m'
_space_group_IT_number 123
_space_group_name_Hall '-P 4 2'
loop_
_atom_site_label
_atom_site_fract_x
_atom_site_fract_y
_atom_site_fract_z
Nb1 0.000 0.000 0.172
Ga1 0.000 0.000 0.500
Pd1 0.000 0.500 0.000
Pd2 0.000 0.500 0.332
Pd3 0.500 0.500 0.166
Pd4 0.500 0.500 0.500
# Total energy = -6.246 eV/atom
# ΔH_f (0 K) = -0.421 eV/atom

=====

(5)
# NbGa2Pd (PBE-GGA, optimized geometry)
data_NbGa2Pd
_cell_length_a 2.9827
_cell_length_b 2.9827
_cell_length_c 25.5770
_cell_angle_alpha 90.00
_cell_angle_beta 90.00
_cell_angle_gamma 120.00
_space_group_name_H-M_alt 'R 3 m'
_space_group_IT_number 160
_space_group_name_Hall 'R 3 -2"'
loop_
_atom_site_label
_atom_site_fract_x
_atom_site_fract_y
_atom_site_fract_z
Nb1 0.0000 0.0000 0.0000
Ga1 0.0000 0.0000 0.2457
Ga2 0.0000 0.0000 0.4220
Pd1 0.0000 0.0000 0.8341
# Total energy = -5.668 eV/atom
# ΔH_f (0 K) = -0.339 eV/atom

=====

(6)
# NbGa2Pd (PBE-GGA, optimized geometry)
data_NbGa2Pd
_cell_length_a 2.9665
_cell_length_b 2.9665
_cell_length_c 25.8307
_cell_angle_alpha 90.00
_cell_angle_beta 90.00
_cell_angle_gamma 120.00
_space_group_name_H-M_alt 'R -3 m'
_space_group_IT_number 166
_space_group_name_Hall '-R 3 2"'
loop_
_atom_site_label
_atom_site_fract_x
_atom_site_fract_y
_atom_site_fract_z
Nb1 0.0000 0.0000 0.0000
Ga1 0.0000 0.0000 0.2453
Pd1 0.0000 0.0000 0.5000
# Total energy = -5.642 eV/atom
# ΔH_f (0 K) = -0.313 eV/atom

=====

(7)
# NbGaPd6 (PBE-GGA, optimized geometry)
data_NbGaPd6
_cell_length_a 5.035
_cell_length_b 5.044
_cell_length_c 5.047
_cell_angle_alpha 93.29
_cell_angle_beta 93.48
_cell_angle_gamma 93.47
_space_group_name_H-M_alt 'P -1'
_space_group_IT_number 2
loop_
_space_group_symop_operation_xyz
'x,y,z'
'-x,-y,-z'
loop_
_atom_site_label
_atom_site_fract_x
_atom_site_fract_y
_atom_site_fract_z
Nb1 0.000 0.000 0.000
Ga1 0.500 0.500 0.500
Pd1 0.049 0.254 0.531
Pd2 0.255 0.532 0.050
Pd3 0.469 0.950 0.745
# Total energy = -5.845 eV/atom
# ΔH_f (0 K) = -0.314 eV/atom
# Offset from the most stable computed form = 163 meV per atom

=====

(8)
# Nb2GaPd6 (PBE-GGA, optimized geometry)
data_Nb2GaPd6
_cell_length_a 7.533
_cell_length_b 13.663
_cell_length_c 2.821
_cell_angle_alpha 90.00
_cell_angle_beta 90.00
_cell_angle_gamma 90.00
_space_group_name_H-M_alt 'C m m m'
_space_group_IT_number 65
_space_group_name_Hall '-C 2 2'
loop_
_atom_site_label
_atom_site_fract_x
_atom_site_fract_y
_atom_site_fract_z
Nb1 0.000 0.181 0.000
Ga1 0.000 0.500 0.500
Pd1 0.181 0.340 0.500
Pd2 0.183 0.000 0.000
# Total energy = -6.351 eV/atom
# ΔH_f (0 K) = -0.315 eV/atom

=====

(9)
# NbGaPdPt (PBE-GGA, optimized geometry)
data_NbGaPdPt
_cell_length_a 6.376
_cell_length_b 6.376
_cell_length_c 6.376
_cell_angle_alpha 90.00
_cell_angle_beta 90.00
_cell_angle_gamma 90.00
_space_group_name_H-M_alt 'F -4 3 m'
_space_group_IT_number 216
_space_group_name_Hall 'F -4 2 3'
loop_
_atom_site_label
_atom_site_fract_x
_atom_site_fract_y
_atom_site_fract_z
Nb1 0.000 0.000 0.000
Ga1 0.000 0.000 0.500
Pd1 0.250 0.250 0.750
Pt1 0.250 0.250 0.250
# Total energy = -6.530 eV/atom
# ΔH_f (0 K) = -0.448 eV/atom

=====

(10)
# NbGaPdRh (PBE-GGA, optimized geometry)
data_NbGaPdRh
_cell_length_a 6.309
_cell_length_b 6.309
_cell_length_c 6.309
_cell_angle_alpha 90.00
_cell_angle_beta 90.00
_cell_angle_gamma 90.00
_space_group_name_H-M_alt 'F -4 3 m'
_space_group_IT_number 216
_space_group_name_Hall 'F -4 2 3'
loop_
_atom_site_label
_atom_site_fract_x
_atom_site_fract_y
_atom_site_fract_z
Nb1 0.000 0.000 0.000
Ga1 0.000 0.000 0.500
Pd1 0.250 0.250 0.250
Rh1 0.250 0.250 0.750
# Total energy = -6.825 eV/atom
# ΔH_f (0 K) = -0.415 eV/atom

=====

(11)
# NbGaPdRu (PBE-GGA, optimized geometry)
data_NbGaPdRu
_cell_length_a 6.292
_cell_length_b 6.292
_cell_length_c 6.292
_cell_angle_alpha 90.00
_cell_angle_beta 90.00
_cell_angle_gamma 90.00
_space_group_name_H-M_alt 'F -4 3 m'
_space_group_IT_number 216
_space_group_name_Hall 'F -4 2 3'
loop_
_atom_site_label
_atom_site_fract_x
_atom_site_fract_y
_atom_site_fract_z
Nb1 0.000 0.000 0.000
Ga1 0.000 0.000 0.500
Pd1 0.250 0.250 0.250
Ru1 0.250 0.250 0.750
# Total energy = -7.211 eV/atom
# ΔH_f (0 K) = -0.320 eV/atom

=====

(12)
# NbGaPdS2 (PBE-GGA, optimized geometry)
data_NbGaPdS2
_cell_length_a 4.718
_cell_length_b 4.718
_cell_length_c 5.209
_cell_angle_alpha 90.00
_cell_angle_beta 90.00
_cell_angle_gamma 90.00
_space_group_name_H-M_alt 'P 4/m m m'
_space_group_IT_number 123
_space_group_name_Hall '-P 4 2'
loop_
_atom_site_label
_atom_site_fract_x
_atom_site_fract_y
_atom_site_fract_z
Nb1 0.000 0.000 0.000
Ga1 0.000 0.000 0.500
Pd1 0.500 0.500 0.500
S1 0.000 0.500 0.000
# Formation energy without anion corrections = 186 meV per atom
# Total energy = -5.123 eV/atom

=====

Question: Which of these has the lowest total energy?
Answer: NbGaPdRu